(1)
## BaGaBi (PBE)

Data for BaGaBi after structural relaxation.

Results
Energy above the most stable polymorph in this dataset, eV per formula unit: 0.172
Electronic total energy, eV per atom: -3.489

a = 4.6774 Å, b = 18.2512 Å, c = 5.2071 Å
α = 90.00°, β = 90.00°, γ = 90.00°
Last column: nearest neighbours and their distance in Å.
Space group Cmcm (No. 63)
One atom of each set of equivalent atoms:
1 Ba 0.0000 0.1640 0.2500 [4 per cell]  3 Ga 3.52-3.58, 5 Bi 3.56-3.77
2 Ga 0.0000 0.0291 0.7500 [4 per cell]  2 Ga 2.81, 2 Bi 2.97
3 Bi 0.0000 0.3708 0.2500 [4 per cell]  2 Ga 2.97

(2)
## CaHg2Bi (PBE)

Data for CaHg2Bi after structural relaxation.

Results
Electronic total energy, eV per atom: -2.031

a = 6.6717 Å, b = 6.7229 Å, c = 9.7605 Å
α = 90.00°, β = 90.00°, γ = 90.00°
Last column: nearest neighbours and their distance in Å.
Space group Fmmm (No. 69)
One atom of each set of equivalent atoms:
1 Ca 0.0000 0.0000 0.0000 [4 per cell]  4 Bi 3.34-3.36, 8 Hg 3.40
2 Hg 0.2500 0.2500 0.2500 [8 per cell]  4 Hg 3.34-3.36, 4 Bi 3.40, 4 Ca 3.40
3 Bi 0.0000 0.0000 0.5000 [4 per cell]  4 Ca 3.34-3.36, 8 Hg 3.40